Version P
The following is a DFT calculation (GGA-PBE) of a relaxed SmNb crystal.

Cell: 5.961 5.961 5.961 Å, 90.00 90.00 90.00°
Space group Fm-3m (No. 225)
Unique sites:
Sm: 0.000 0.000 0.000
Nb: 0.000 0.000 0.500



Version Q
The following is a DFT calculation (GGA-PBE) of a relaxed SmNb crystal.

Cell: 3.6271 3.6271 7.8162 Å, 90.00 90.00 120.00°
Space group P6_3/mmc (No. 194)
Unique sites:
Sm: 0.0000 0.0000 0.0000
Nb: 0.3333 0.6667 0.2500



Stability, highest: version Q